Entry 1:
A geometry-optimized BaFeIr structure, computed with PBE-GGA.

Unit cell a=4.1700 b=4.1700 c=4.9934 alpha=90.00 beta=90.00 gamma=120.00
Last column: nearest neighbours and their distance in Å.
Fractional coordinates of all 3 atoms:
Ir  0.3333  0.6667  0.4999  3 Fe 2.41
Fe  0.6667  0.3333  0.5000  3 Ir 2.41
Ba  0.0000  0.0000  0.0000  6 Ir 3.47, 6 Fe 3.47

Results
The calculation puts the magnetic moment at 2.84 μB/f.u. The symmetry is P-6m2.



Entry 2:
A geometry-optimized Ba2FeIr structure, computed with PBE-GGA.

Unit cell a=6.1081 b=6.1081 c=6.1081 alpha=135.59 beta=135.59 gamma=64.61
Last column: nearest neighbours and their distance in Å.
Fractional coordinates of all 4 atoms:
Ba  0.0000  0.0000  0.0000  4 Fe 3.26, 4 Ir 3.46, 4 Ba 3.46
Ba  0.2500  0.7500  0.5000  4 Ir 3.26, 4 Ba 3.46, 4 Fe 3.46
Ir  0.7500  0.2500  0.5000  8 Ba 3.26-3.46, 4 Fe 3.46
Fe  0.5000  0.5000  0.0000  8 Ba 3.26-3.46, 4 Ir 3.46

Results
The calculation puts the magnetic moment at 3.09 μB/f.u. The symmetry is I-4m2.



Entry 3:
A geometry-optimized Ba2FeIr structure, computed with PBE-GGA.

Unit cell a=4.3365 b=4.8651 c=6.4069 alpha=67.68 beta=90.00 gamma=90.00
Last column: nearest neighbours and their distance in Å.
Fractional coordinates of all 4 atoms:
Fe  0.0000  0.6663  0.5429  2 Ir 2.38
Ba  0.0000  0.9840  0.9064  2 Fe 3.25, 4 Ir 3.46
Ba  0.5000  0.2667  0.3421  2 Ir 3.26, 4 Fe 3.47
Ir  0.5000  0.5830  0.7086  2 Fe 2.38

Results
The calculation puts the magnetic moment at 2.35 μB/f.u. The symmetry is Amm2.



Number 1: energy relative to the elements 0.17 eV/atom. Number 2: energy relative to the elements 0.72 eV/atom. Number 3: energy relative to the elements 0.15 eV/atom.